No. 1
This record from Alexandria describes a relaxed structure of CsMgAs2Br. The functional is PBE.

**Calculated total energy**: -10.8 eV per cell
**Density**: 3.51 Mg/m³
**Space-group type**: P4/mmm (123)
**Distance to the lowest polymorph of the same formula**: 772 meV per atom
**Size of the total moment**: 0.00 μB per cell

Cell: 5.4085 6.2665 5.4085 Å, 90.00 90.00 90.00°
Last column: nearest neighbours and their distance in Å.
Element x y z (fractional)
1 As 0.0000 0.0000 0.5000  2 Br 2.70
2 As 0.5000 0.0000 0.0000  2 Br 2.70
3 Br 0.0000 0.0000 0.0000  4 As 2.70
4 Mg 0.5000 0.5000 0.5000  4 Cs 3.82, 8 As 4.14
5 Cs 0.0000 0.5000 0.0000  2 Br 3.13

---

No. 2
This record from Alexandria describes a relaxed structure of CsMgAs2Br. The functional is PBE.

**Calculated total energy**: -8.5 eV per cell
**Density**: 2.73 Mg/m³
**Space-group type**: P4/mmm (123)
**Distance to the lowest polymorph of the same formula**: 1235 meV per atom
**Size of the total moment**: 1.95 μB per cell

Cell: 6.0559 6.0559 6.4229 Å, 90.00 90.00 90.00°
Last column: nearest neighbours and their distance in Å.
Element x y z (fractional)
1 Br 0.0000 0.0000 0.5000  2 Cs 3.21
2 As 0.0000 0.5000 0.0000  2 Cs 3.03
3 Cs 0.0000 0.0000 0.0000  4 As 3.03, 2 Br 3.21
4 As 0.5000 0.0000 0.0000  2 Cs 3.03
5 Mg 0.5000 0.5000 0.5000  4 Br 4.28, 8 As 4.41

---

No. 3
This record from Alexandria describes a relaxed structure of CsMnAs2Br. The functional is PBE.

**Calculated total energy**: -22.4 eV per cell
**Density**: 4.47 Mg/m³
**Space-group type**: P4/mmm (123)
**Size of the total moment**: 2.63 μB per cell

Cell: 4.7296 4.7296 6.9329 Å, 90.00 90.00 90.00°
Last column: nearest neighbours and their distance in Å.
Element x y z (fractional)
1 Br 0.0000 0.0000 0.5000  4 Cs 3.34, 2 Mn 3.47
2 As 0.5000 0.0000 0.0000  2 Mn 2.36
3 Mn 0.0000 0.0000 0.0000  4 As 2.36
4 As 0.0000 0.5000 0.0000  2 Mn 2.36
5 Cs 0.5000 0.5000 0.5000  4 Br 3.34

---

No. 4
This record from Alexandria describes a relaxed structure of CsMoAsBr2. The functional is PBE.

**Calculated total energy**: -21.8 eV per cell
**Density**: 5.01 Mg/m³
**Space-group type**: P4/mmm (123)
**Size of the total moment**: 1.80 μB per cell

Cell: 5.6014 5.6014 4.8987 Å, 90.00 90.00 90.00°
Last column: nearest neighbours and their distance in Å.
Element x y z (fractional)
1 As 0.0000 0.0000 0.5000  2 Mo 2.45
2 Br 0.5000 0.0000 0.0000  2 Mo 2.80
3 Br 0.0000 0.5000 0.0000  2 Mo 2.80
4 Cs 0.5000 0.5000 0.5000  8 Br 3.72, 4 As 3.96
5 Mo 0.0000 0.0000 0.0000  2 As 2.45

---

No. 5
This record from Alexandria describes a relaxed structure of CsAsBr2N. The functional is PBE.

**Calculated total energy**: -16.7 eV per cell
**Density**: 3.81 Mg/m³
**Space-group type**: P4/mmm (123)
**Size of the total moment**: 0.00 μB per cell

Cell: 6.7980 6.7980 3.5990 Å, 90.00 90.00 90.00°
Last column: nearest neighbours and their distance in Å.
Element x y z (fractional)
1 Br 0.5000 0.0000 0.0000  2 N 3.40, 2 Br 3.60
2 Cs 0.5000 0.5000 0.5000  2 Cs 3.60, 8 Br 3.85
3 Br 0.0000 0.5000 0.0000  2 N 3.40, 2 Br 3.60
4 N 0.0000 0.0000 0.0000  2 As 1.80
5 As 0.0000 0.0000 0.5000  2 N 1.80

---

No. 6
This record from Alexandria describes a relaxed structure of Cs2NaAsBr6. The functional is PBE.

**Calculated total energy**: -30.0 eV per cell
**Density**: 3.90 Mg/m³
**Space-group type**: Fm-3m (225)
**Size of the total moment**: 0.00 μB per cell

Cell: 7.9772 7.9772 7.9772 Å, 60.00 60.00 60.00°
Last column: nearest neighbours and their distance in Å.
Element x y z (fractional)
1 Br 0.2369 0.7631 0.2369  1 As 2.67, 1 Na 2.97
2 Cs 0.7500 0.7500 0.7500  12 Br 3.99
3 Br 0.2369 0.7631 0.7631  1 As 2.67, 1 Na 2.97
4 Cs 0.2500 0.2500 0.2500  12 Br 3.99
5 As 0.0000 0.0000 0.0000  6 Br 2.67
6 Br 0.7631 0.7631 0.2369  1 As 2.67, 1 Na 2.97
7 Br 0.7631 0.2369 0.7631  1 As 2.67, 1 Na 2.97
8 Br 0.2369 0.2369 0.7631  1 As 2.67, 1 Na 2.97
9 Br 0.7631 0.2369 0.2369  1 As 2.67, 1 Na 2.97
10 Na 0.5000 0.5000 0.5000  6 Br 2.97

---

No. 7
This record from Alexandria describes a relaxed structure of CsNbAsBr2. The functional is PBE.

**Calculated total energy**: -22.2 eV per cell
**Density**: 4.96 Mg/m³
**Space-group type**: P4/mmm (123)
**Size of the total moment**: 0.86 μB per cell

Cell: 5.5342 5.5342 5.0363 Å, 90.00 90.00 90.00°
Last column: nearest neighbours and their distance in Å.
Element x y z (fractional)
1 Br 0.5000 0.0000 0.0000  2 Nb 2.77
2 Br 0.0000 0.5000 0.0000  2 Nb 2.77
3 Nb 0.0000 0.0000 0.0000  2 As 2.52, 4 Br 2.77
4 Cs 0.5000 0.5000 0.5000  8 Br 3.74, 4 As 3.91
5 As 0.0000 0.0000 0.5000  2 Nb 2.52

---

No. 8
This record from Alexandria describes a relaxed structure of CsNiAsBr6. The functional is PBE.

**Calculated total energy**: -27.5 eV per cell
**Density**: 3.71 Mg/m³
**Space-group type**: P312 (149)
**Size of the total moment**: 2.10 μB per cell

Cell: 6.8277 6.8277 8.2679 Å, 90.00 90.00 60.00°
Last column: nearest neighbours and their distance in Å.
Element x y z (fractional)
1 Br 0.9873 0.6356 0.6802  1 Ni 2.57, 1 As 2.68
2 Cs 0.0000 0.0000 0.0000  6 Br 3.66
3 Br 0.3770 0.6356 0.3198  1 Ni 2.57, 1 As 2.68
4 As 0.3333 0.3333 0.5000  6 Br 2.68
5 Ni 0.6666 0.6667 0.5000  6 Br 2.57
6 Br 0.6356 0.3771 0.6802  1 Ni 2.57, 1 As 2.68
7 Br 0.6356 0.9873 0.3198  1 Ni 2.57, 1 As 2.68
8 Br 0.9873 0.3771 0.3198  1 Ni 2.57, 1 As 2.68
9 Br 0.3770 0.9873 0.6802  1 Ni 2.57, 1 As 2.68

---

No. 9
This record from Alexandria describes a relaxed structure of CsNiAsBr2. The functional is PBE.

**Calculated total energy**: -16.9 eV per cell
**Density**: 4.92 Mg/m³
**Space-group type**: P4/mmm (123)
**Size of the total moment**: 0.00 μB per cell

Cell: 5.6894 5.6894 4.4429 Å, 90.00 90.00 90.00°
Last column: nearest neighbours and their distance in Å.
Element x y z (fractional)
1 Cs 0.5000 0.5000 0.5000  8 Br 3.61, 4 As 4.02
2 Ni 0.0000 0.0000 0.0000  2 As 2.22
3 Br 0.5000 0.0000 0.0000  2 Ni 2.84
4 As 0.0000 0.0000 0.5000  2 Ni 2.22
5 Br 0.0000 0.5000 0.0000  2 Ni 2.84

---

No. 10
This record from Alexandria describes a relaxed structure of CsNiAs2Br. The functional is PBE.

**Calculated total energy**: -18.6 eV per cell
**Density**: 3.83 Mg/m³
**Space-group type**: P4/mmm (123)
**Size of the total moment**: 0.00 μB per cell

Cell: 4.5833 4.5833 8.7064 Å, 90.00 90.00 90.00°
Last column: nearest neighbours and their distance in Å.
Element x y z (fractional)
1 Ni 0.0000 0.0000 0.0000  4 As 2.29
2 As 0.0000 0.5000 0.0000  2 Ni 2.29
3 Br 0.0000 0.0000 0.5000  4 Cs 3.24
4 Cs 0.5000 0.5000 0.5000  4 Br 3.24
5 As 0.5000 0.0000 0.0000  2 Ni 2.29

---

No. 11
This record from Alexandria describes a relaxed structure of Cs2AsOsBr6. The functional is PBE.

**Calculated total energy**: -33.4 eV per cell
**Density**: 5.19 Mg/m³
**Space-group type**: I4/mmm (139)
**Size of the total moment**: 1.61 μB per cell

Cell: 7.6525 7.6525 7.7335 Å, 60.35 60.35 90.00°
Last column: nearest neighbours and their distance in Å.
Element x y z (fractional)
1 Br 0.2387 0.7613 0.0000  1 Os 2.58, 1 As 2.83
2 Br 0.7667 0.7667 0.4665  1 Os 2.58
3 Os 0.0000 0.0000 0.0000  6 Br 2.58
4 Cs 0.2500 0.7500 0.5000  12 Br 3.83-3.87
5 Br 0.7613 0.2387 0.0000  1 Os 2.58, 1 As 2.83
6 Cs 0.7500 0.2500 0.5000  12 Br 3.83-3.87
7 Br 0.2333 0.2333 0.5335  1 Os 2.58
8 Br 0.2387 0.2387 0.0000  1 Os 2.58, 1 As 2.83
9 As 0.5000 0.5000 0.0000  6 Br 2.83-2.95
10 Br 0.7613 0.7613 0.0000  1 Os 2.58, 1 As 2.83

---

No. 12
This record from Alexandria describes a relaxed structure of CsAs2OsBr. The functional is PBE.

**Calculated total energy**: -23.2 eV per cell
**Density**: 6.50 Mg/m³
**Space-group type**: P4/mmm (123)
**Distance to the lowest polymorph of the same formula**: 0 meV per atom
**Size of the total moment**: 0.00 μB per cell

Cell: 4.8002 4.8002 6.1310 Å, 90.00 90.00 90.00°
Last column: nearest neighbours and their distance in Å.
Element x y z (fractional)
1 Cs 0.5000 0.5000 0.5000  4 Br 3.39
2 Os 0.0000 0.0000 0.0000  4 As 2.40
3 As 0.5000 0.0000 0.0000  2 Os 2.40
4 As 0.0000 0.5000 0.0000  2 Os 2.40
5 Br 0.0000 0.0000 0.5000  2 Os 3.07, 4 Cs 3.39

---

Question: Look up the calculated total energy of the seventh one.
Answer: -22.2 eV per cell

---

Question: Which formula does entry 1 have?
Answer: CsMgAs2Br

---

Question: size of the total moment of number 2 (CsMgAs2Br)?
Answer: 1.95 μB per cell

---

Question: Look up the density of the eighth one.
Answer: 3.71 Mg/m³